Record 1
The following is a PBE calculation of LaPm2Cd after structural relaxation, from Alexandria.

Calculated values
M_tot in μB/f.u.: 0.00
Energy above the lowest structure with this stoichiometry in eV per formula unit: 0.42
Energy of formation from the pure elements in meV/atom: -48

Cell and atoms, written as CIF:
```
data_LaPm2Cd
_space_group_name_H-M_alt 'R 3 m'
_space_group_IT_number 160
_space_group_name_Hall 'R 3 -2"'
_cell_length_a 3.6903
_cell_length_b 3.6903
_cell_length_c 33.5730
_cell_angle_alpha 90.00
_cell_angle_beta 90.00
_cell_angle_gamma 120.00
loop_
_atom_site_label
_atom_site_type_symbol
_atom_site_fract_x
_atom_site_fract_y
_atom_site_fract_z
La1 La 0.0000 0.0000 0.0000
Pm1 Pm 0.0000 0.0000 0.5758
Pm2 Pm 0.0000 0.0000 0.7584
Cd1 Cd 0.0000 0.0000 0.1669
```


Record 2
The following is a PBE calculation of InHgB after structural relaxation, from Alexandria.

Calculated values
M_tot in μB/f.u.: 0.00
Energy of formation from the pure elements in meV/atom: 500

Cell and atoms, written as CIF:
```
data_InHgB
_space_group_name_H-M_alt 'P 1'
_space_group_IT_number 1
_cell_length_a 3.909
_cell_length_b 5.702
_cell_length_c 6.110
_cell_angle_alpha 109.57
_cell_angle_beta 102.15
_cell_angle_gamma 92.81
loop_
_space_group_symop_operation_xyz
'x,y,z'
loop_
_atom_site_label
_atom_site_type_symbol
_atom_site_fract_x
_atom_site_fract_y
_atom_site_fract_z
In1 In 0.000 0.000 0.000
In2 In 0.475 0.501 0.922
Hg1 Hg 0.200 0.549 0.346
Hg2 Hg 0.777 0.096 0.448
B1 B 0.389 0.803 0.747
B2 B 0.444 0.075 0.727
```


Record 3
The following is a PBE calculation of CsHfZn2Cl8 after structural relaxation, from Alexandria.

Calculated values
M_tot in μB/f.u.: 1.03
Energy relative to the elements, uncorrected in eV/atom: -1.4281

Cell and atoms, written as CIF:
```
data_CsHfZn2Cl8
_space_group_name_H-M_alt 'R -3'
_space_group_IT_number 148
_space_group_name_Hall '-R 3'
_cell_length_a 6.4096
_cell_length_b 6.4096
_cell_length_c 31.5253
_cell_angle_alpha 90.00
_cell_angle_beta 90.00
_cell_angle_gamma 120.00
loop_
_atom_site_label
_atom_site_type_symbol
_atom_site_fract_x
_atom_site_fract_y
_atom_site_fract_z
Cs1 Cs 0.0000 0.0000 0.0000
Hf1 Hf 0.0000 0.0000 0.5000
Zn1 Zn 0.0000 0.0000 0.2381
Cl1 Cl 0.0000 0.0000 0.3087
Cl2 Cl 0.0073 0.6854 0.5466
```


Record 4
The following is a PBE calculation of Sc2HW after structural relaxation, from Alexandria.

Calculated values
M_tot in μB/f.u.: 0.00
Energy above the lowest structure with this stoichiometry in eV per formula unit: 0.05

Cell and atoms, written as CIF:
```
data_Sc2HW
_space_group_name_H-M_alt 'R -3 m'
_space_group_IT_number 166
_space_group_name_Hall '-R 3 2"'
_cell_length_a 2.9690
_cell_length_b 2.9690
_cell_length_c 24.1784
_cell_angle_alpha 90.00
_cell_angle_beta 90.00
_cell_angle_gamma 120.00
loop_
_atom_site_label
_atom_site_type_symbol
_atom_site_fract_x
_atom_site_fract_y
_atom_site_fract_z
Sc1 Sc 0.0000 0.0000 0.1113
H1 H 0.0000 0.0000 0.5000
W1 W 0.0000 0.0000 0.0000
```


Record 5
The following is a PBE calculation of CaFeBr after structural relaxation, from Alexandria.

Calculated values
M_tot in μB/f.u.: 3.00
Energy relative to the elements, uncorrected in eV/atom: -0.0634

Cell and atoms, written as CIF:
```
data_CaFeBr
_space_group_name_H-M_alt 'P 3 m 1'
_space_group_IT_number 156
_cell_length_a 3.7088
_cell_length_b 3.7088
_cell_length_c 6.2538
_cell_angle_alpha 90.00
_cell_angle_beta 90.00
_cell_angle_gamma 120.00
loop_
_space_group_symop_operation_xyz
'x,y,z'
'-y,x-y,z'
'-x+y,-x,z'
'-y,-x,z'
'-x+y,y,z'
'x,x-y,z'
loop_
_atom_site_label
_atom_site_type_symbol
_atom_site_fract_x
_atom_site_fract_y
_atom_site_fract_z
Ca1 Ca 0.0000 0.0000 0.0000
Fe1 Fe 0.3333 0.6667 0.3476
Br1 Br 0.6667 0.3333 0.6606
```


Record 6
The following is a PBE calculation of CaSmMgHg after structural relaxation, from Alexandria.

Calculated values
M_tot in μB/f.u.: 0.00
Energy above the lowest structure with this stoichiometry in eV per formula unit: 0.02
Energy of formation from the pure elements in meV/atom: -297

Cell and atoms, written as CIF:
```
data_CaSmMgHg
_space_group_name_H-M_alt 'F -4 3 m'
_space_group_IT_number 216
_space_group_name_Hall 'F -4 2 3'
_cell_length_a 7.646
_cell_length_b 7.646
_cell_length_c 7.646
_cell_angle_alpha 90.00
_cell_angle_beta 90.00
_cell_angle_gamma 90.00
loop_
_atom_site_label
_atom_site_type_symbol
_atom_site_fract_x
_atom_site_fract_y
_atom_site_fract_z
Ca1 Ca 0.000 0.000 0.000
Sm1 Sm 0.000 0.000 0.500
Mg1 Mg 0.250 0.250 0.750
Hg1 Hg 0.250 0.250 0.250
```


Record 7
The following is a PBE calculation of Sm2DyY6Er3 after structural relaxation, from Alexandria.

Calculated values
M_tot in μB/f.u.: 0.00
Energy of formation from the pure elements in meV/atom: 22

Cell and atoms, written as CIF:
```
data_Sm2DyY6Er3
_space_group_name_H-M_alt 'C 1 2/m 1'
_space_group_IT_number 12
_cell_length_a 6.175
_cell_length_b 10.683
_cell_length_c 11.803
_cell_angle_alpha 90.00
_cell_angle_beta 100.00
_cell_angle_gamma 90.00
loop_
_space_group_symop_operation_xyz
'x,y,z'
'-x,-y,-z'
'-x,y,-z'
'x,-y,z'
'x+1/2,y+1/2,z'
'-x+1/2,-y+1/2,-z'
'-x+1/2,y+1/2,-z'
'x+1/2,-y+1/2,z'
loop_
_atom_site_label
_atom_site_type_symbol
_atom_site_fract_x
_atom_site_fract_y
_atom_site_fract_z
Sm1 Sm 0.000 0.167 0.000
Dy1 Dy 0.000 0.500 0.000
Y1 Y 0.248 0.500 0.748
Y2 Y 0.249 0.166 0.748
Er1 Er 0.000 0.000 0.500
Er2 Er 0.000 0.334 0.500
```


Record 8
The following is a PBE calculation of Ta3HgRh after structural relaxation, from Alexandria.

Calculated values
M_tot in μB/f.u.: 0.00
Energy above the lowest structure with this stoichiometry in eV per formula unit: 0.00
Energy of formation from the pure elements in meV/atom: 1054

Cell and atoms, written as CIF:
```
data_Ta3HgRh
_space_group_name_H-M_alt 'P m -3 m'
_space_group_IT_number 221
_space_group_name_Hall '-P 4 2 3'
_cell_length_a 4.815
_cell_length_b 4.815
_cell_length_c 4.815
_cell_angle_alpha 90.00
_cell_angle_beta 90.00
_cell_angle_gamma 90.00
loop_
_atom_site_label
_atom_site_type_symbol
_atom_site_fract_x
_atom_site_fract_y
_atom_site_fract_z
Ta1 Ta 0.000 0.000 0.500
Hg1 Hg 0.500 0.500 0.500
Rh1 Rh 0.000 0.000 0.000
```


Record 9
The following is a PBE calculation of LiRuPb2 after structural relaxation, from Alexandria.

Calculated values
M_tot in μB/f.u.: 0.00
Energy above the lowest structure with this stoichiometry in eV per formula unit: 0.09
Energy of formation from the pure elements in meV/atom: 131

Cell and atoms, written as CIF:
```
data_LiRuPb2
_space_group_name_H-M_alt 'F m -3 m'
_space_group_IT_number 225
_space_group_name_Hall '-F 4 2 3'
_cell_length_a 6.800
_cell_length_b 6.800
_cell_length_c 6.800
_cell_angle_alpha 90.00
_cell_angle_beta 90.00
_cell_angle_gamma 90.00
loop_
_atom_site_label
_atom_site_type_symbol
_atom_site_fract_x
_atom_site_fract_y
_atom_site_fract_z
Li1 Li 0.000 0.000 0.000
Ru1 Ru 0.000 0.000 0.500
Pb1 Pb 0.250 0.250 0.250
```


Record 10
The following is a PBE calculation of BaCdAg after structural relaxation, from Alexandria.

Calculated values
M_tot in μB/f.u.: 0.00
Energy of formation from the pure elements in meV/atom: -299

Cell and atoms, written as CIF:
```
data_BaCdAg
_space_group_name_H-M_alt 'P -6 m 2'
_space_group_IT_number 187
_space_group_name_Hall 'P -6 2'
_cell_length_a 5.0260
_cell_length_b 5.0260
_cell_length_c 4.4433
_cell_angle_alpha 90.00
_cell_angle_beta 90.00
_cell_angle_gamma 120.00
loop_
_atom_site_label
_atom_site_type_symbol
_atom_site_fract_x
_atom_site_fract_y
_atom_site_fract_z
Ba1 Ba 0.0000 0.0000 0.0000
Cd1 Cd 0.6667 0.3333 0.5000
Ag1 Ag 0.3333 0.6667 0.5000
```